# AgPbO2

A relaxed AgPbO2 crystal (PBE, the Alexandria database).

abc: 5.340 5.340 10.618
angles: 90.00 90.00 90.00
Fractional positions:
Ag 0.000 0.000 0.000
Ag 0.000 0.500 0.250
Ag 0.500 0.000 0.750
Ag 0.500 0.500 0.500
Pb 0.000 0.000 0.500
Pb 0.000 0.500 0.750
Pb 0.500 0.000 0.250
Pb 0.500 0.500 0.000
O 0.220 0.250 0.625
O 0.250 0.720 0.875
O 0.250 0.780 0.375
O 0.280 0.250 0.125
O 0.720 0.750 0.125
O 0.750 0.220 0.375
O 0.750 0.280 0.875
O 0.780 0.750 0.625

Computed properties:
As for the mass density: 7.61 g/cm3. As for the uncorrected formation energy: -0.5182 eV/atom. The density of states at the Fermi level is 1.839 states/eV/cell. As for the space group: No. 122.

=====

# AgPbO2

A relaxed AgPbO2 crystal (PBE, the Alexandria database).

abc: 13.046 3.558 6.492
angles: 90.00 98.42 90.00
Fractional positions:
Ag 0.250 0.000 0.195
Ag 0.250 0.500 0.805
Ag 0.750 0.000 0.805
Ag 0.750 0.500 0.195
Pb 0.000 0.000 0.500
Pb 0.000 0.500 0.000
Pb 0.500 0.000 0.000
Pb 0.500 0.500 0.500
O 0.088 0.000 0.171
O 0.088 0.500 0.738
O 0.412 0.000 0.262
O 0.412 0.500 0.829
O 0.588 0.000 0.738
O 0.588 0.500 0.171
O 0.912 0.000 0.829
O 0.912 0.500 0.262

Computed properties:
As for the mass density: 7.73 g/cm3. As for the uncorrected formation energy: -0.6441 eV/atom. As for the space group: No. 12.

=====

# Ag7Pb3O9

A relaxed Ag7Pb3O9 crystal (PBE, the Alexandria database).

abc: 8.842 8.842 8.929
angles: 107.96 107.96 71.78
Fractional positions:
Ag 0.000 0.500 0.000
Ag 0.073 0.073 0.419
Ag 0.163 0.163 0.827
Ag 0.175 0.658 0.333
Ag 0.254 0.254 0.239
Ag 0.342 0.825 0.667
Ag 0.414 0.414 0.099
Ag 0.500 0.000 0.000
Ag 0.586 0.586 0.901
Ag 0.658 0.175 0.333
Ag 0.746 0.746 0.761
Ag 0.825 0.342 0.667
Ag 0.837 0.837 0.173
Ag 0.927 0.927 0.581
Pb 0.169 0.831 0.000
Pb 0.171 0.498 0.665
Pb 0.498 0.171 0.665
Pb 0.502 0.829 0.335
Pb 0.829 0.502 0.335
Pb 0.831 0.169 0.000
O 0.104 0.104 0.015
O 0.104 0.478 0.395
O 0.152 0.770 0.729
O 0.185 0.559 0.935
O 0.224 0.224 0.642
O 0.230 0.848 0.271
O 0.436 0.436 0.689
O 0.441 0.815 0.065
O 0.478 0.104 0.395
O 0.522 0.896 0.605
O 0.559 0.185 0.935
O 0.564 0.564 0.311
O 0.770 0.152 0.729
O 0.776 0.776 0.358
O 0.815 0.441 0.065
O 0.848 0.230 0.271
O 0.896 0.522 0.605
O 0.896 0.896 0.985

Computed properties:
As for the mass density: 8.24 g/cm3. As for the uncorrected formation energy: -0.4796 eV/atom. The density of states at the Fermi level is 3.450 states/eV/cell. As for the space group: No. 12.

=====

# AgPdPbO4

A relaxed AgPdPbO4 crystal (PBE, the Alexandria database).

abc: 6.611 6.611 6.611
angles: 121.04 117.35 91.43
Fractional positions:
Ag 0.394 0.144 0.250
Ag 0.606 0.856 0.750
Pd 0.000 0.000 0.500
Pd 0.000 0.500 0.000
Pb 0.000 0.500 0.500
Pb 0.500 0.500 0.000
O 0.194 0.744 0.451
O 0.207 0.256 0.951
O 0.224 0.243 0.519
O 0.224 0.706 0.981
O 0.776 0.294 0.019
O 0.776 0.757 0.481
O 0.793 0.744 0.049
O 0.806 0.256 0.549

Computed properties:
As for the mass density: 7.81 g/cm3. As for the uncorrected formation energy: -0.4893 eV/atom. The density of states at the Fermi level is 7.210 states/eV/cell. As for the space group: No. 74.

=====

# Pm2AgPbO5

A relaxed Pm2AgPbO5 crystal (PBE, the Alexandria database).

abc: 6.779 6.779 6.414
angles: 90.00 90.00 90.00
Fractional positions:
Pm 0.175 0.325 0.000
Pm 0.325 0.825 0.000
Pm 0.675 0.175 0.000
Pm 0.825 0.675 0.000
Ag 0.000 0.000 0.500
Ag 0.500 0.500 0.500
Pb 0.000 0.500 0.500
Pb 0.500 0.000 0.500
O 0.000 0.000 0.000
O 0.143 0.643 0.229
O 0.143 0.643 0.771
O 0.357 0.143 0.229
O 0.357 0.143 0.771
O 0.500 0.500 0.000
O 0.643 0.857 0.229
O 0.643 0.857 0.771
O 0.857 0.357 0.229
O 0.857 0.357 0.771

Computed properties:
As for the mass density: 7.72 g/cm3. As for the uncorrected formation energy: -1.8252 eV/atom. The density of states at the Fermi level is 5.728 states/eV/cell. As for the space group: No. 127.

=====

# PuAg2PbO8

A relaxed PuAg2PbO8 crystal (PBE, the Alexandria database).

abc: 6.125 6.125 6.125
angles: 113.82 113.82 101.09
Fractional positions:
Pu 0.000 0.000 0.000
Ag 0.500 0.500 0.000
Ag 0.750 0.250 0.500
Pb 0.250 0.750 0.500
O 0.278 0.101 0.823
O 0.278 0.455 0.177
O 0.314 0.028 0.286
O 0.545 0.722 0.823
O 0.742 0.028 0.714
O 0.899 0.722 0.177
O 0.972 0.258 0.286
O 0.972 0.686 0.714

Computed properties:
As for the mass density: 7.58 g/cm3. As for the uncorrected formation energy: -0.8132 eV/atom. The density of states at the Fermi level is 6.082 states/eV/cell. As for the space group: No. 119.

=====

# PuAgPb2O6

A relaxed PuAgPb2O6 crystal (PBE, the Alexandria database).

abc: 6.130 6.130 6.130
angles: 59.95 59.95 59.95
Fractional positions:
Pu 0.000 0.000 0.000
Ag 0.517 0.517 0.517
Pb 0.294 0.294 0.294
Pb 0.778 0.778 0.778
O 0.129 0.321 0.764
O 0.195 0.880 0.675
O 0.321 0.764 0.129
O 0.675 0.195 0.880
O 0.764 0.129 0.321
O 0.880 0.675 0.195

Computed properties:
As for the mass density: 8.80 g/cm3. As for the uncorrected formation energy: -1.5060 eV/atom. As for the space group: No. 146.

=====

# Pu2AgPbO8

A relaxed Pu2AgPbO8 crystal (PBE, the Alexandria database).

abc: 6.010 6.010 5.847
angles: 90.00 90.00 120.00
Fractional positions:
Pu 0.333 0.667 0.435
Pu 0.667 0.333 0.565
Ag 0.000 0.000 0.500
Pb 0.000 0.000 0.000
O 0.062 0.382 0.660
O 0.320 0.938 0.660
O 0.333 0.667 0.116
O 0.382 0.320 0.340
O 0.618 0.680 0.660
O 0.667 0.333 0.884
O 0.680 0.062 0.340
O 0.938 0.618 0.340

Computed properties:
As for the mass density: 8.45 g/cm3. As for the uncorrected formation energy: -1.5436 eV/atom. The density of states at the Fermi level is 7.465 states/eV/cell. As for the space group: No. 147.

=====

Magnetization, respectively: 0.0000, 0.0000, 0.0000, 0.0000, 0.0870, 0.1166, 0.0921, 0.2499 μB per atom.